1.
Material: BaLi2PdO
Method: DFT, PBE
State: optimized geometry

a = 4.2915 Å, b = 4.2915 Å, c = 5.3726 Å
α = 90.00°, β = 90.00°, γ = 90.00°
Closest atoms and distances in Å follow each position.
Fractional coordinates of all 5 atoms:
Ba 0.0000 0.0000 0.0000  2 O 2.69
Li 0.0000 0.5000 0.5000  2 O 2.15
Li 0.5000 0.0000 0.5000  2 O 2.15
Pd 0.5000 0.5000 0.0000  4 Ba 3.03
O 0.0000 0.0000 0.5000  4 Li 2.15

SG	No. 123
uncorrected formation energy	-98.8	kJ per mole of atoms
magnetic moment	0.00	μB per formula unit
final energy	-4.2045	eV/atom



2.
Material: PrNd4Y2Sc
Method: DFT, PBE
State: optimized geometry

a = 5.0975 Å, b = 5.1156 Å, c = 10.1522 Å
α = 90.00°, β = 90.00°, γ = 90.00°
Closest atoms and distances in Å follow each position.
Fractional coordinates of all 8 atoms:
Pr 0.0000 0.0000 0.0000  8 Nd 3.58, 4 Sc 3.61
Nd 0.0000 0.5000 0.2466  2 Sc 3.57, 2 Pr 3.58, 4 Nd 3.61, 4 Y 3.62-3.63
Nd 0.0000 0.5000 0.7534  2 Sc 3.57, 2 Pr 3.58, 4 Nd 3.61, 4 Y 3.62-3.63
Nd 0.5000 0.0000 0.2472  2 Pr 3.58, 2 Sc 3.58, 4 Nd 3.61, 4 Y 3.62
Nd 0.5000 0.0000 0.7528  2 Pr 3.58, 2 Sc 3.58, 4 Nd 3.61, 4 Y 3.62
Y 0.0000 0.0000 0.5000  4 Y 3.61, 8 Nd 3.62-3.63
Y 0.5000 0.5000 0.5000  4 Y 3.61, 8 Nd 3.62
Sc 0.5000 0.5000 0.0000  8 Nd 3.57-3.58, 4 Pr 3.61

SG	No. 47
magnetic moment	0.00	μB per formula unit
energy relative to the elements	0.03	eV per atom
final energy	-5.3614	eV/atom



3.
Material: TbDy2Sb
Method: DFT, PBE
State: optimized geometry

a = 9.7504 Å, b = 9.7504 Å, c = 9.7504 Å
α = 23.64°, β = 23.64°, γ = 23.64°
Closest atoms and distances in Å follow each position.
Fractional coordinates of all 4 atoms:
Tb 0.0000 0.0000 0.0000  6 Dy 3.62-3.64, 6 Tb 3.99
Dy 0.5676 0.5676 0.5676  3 Sb 3.02
Dy 0.7649 0.7649 0.7649  3 Sb 3.00
Sb 0.1659 0.1659 0.1659  6 Dy 3.00-3.02

SG	No. 160
uncorrected formation energy	-31.6	kJ per mole of atoms
magnetic moment	0.81	μB per formula unit
final energy	-4.8166	eV/atom



4.
Material: PmPrTlCu
Method: DFT, PBE
State: optimized geometry

a = 5.3491 Å, b = 5.3491 Å, c = 5.3491 Å
α = 60.00°, β = 60.00°, γ = 60.00°
Closest atoms and distances in Å follow each position.
Fractional coordinates of all 4 atoms:
Pm 0.0000 0.0000 0.0000  4 Tl 3.28, 4 Cu 3.28
Pr 0.5000 0.5000 0.5000  4 Tl 3.28, 4 Cu 3.28
Tl 0.7500 0.7500 0.7500  4 Pr 3.28, 4 Pm 3.28
Cu 0.2500 0.2500 0.2500  4 Pr 3.28, 4 Pm 3.28

SG	No. 216
magnetic moment	0.39	μB per formula unit
energy relative to the elements	-0.21	eV per atom
final energy	-4.2057	eV/atom



5.
Material: Pm2CdSi
Method: DFT, PBE
State: optimized geometry

a = 5.2313 Å, b = 5.2313 Å, c = 5.2313 Å
α = 60.00°, β = 60.00°, γ = 60.00°
Closest atoms and distances in Å follow each position.
Fractional coordinates of all 4 atoms:
Pm 0.2500 0.2500 0.2500  4 Cd 3.20, 4 Si 3.20
Pm 0.7500 0.7500 0.7500  4 Cd 3.20, 4 Si 3.20
Cd 0.0000 0.0000 0.0000  8 Pm 3.20
Si 0.5000 0.5000 0.5000  8 Pm 3.20

SG	No. 225
uncorrected formation energy	-37.9	kJ per mole of atoms
magnetic moment	0.00	μB per formula unit
final energy	-4.3530	eV/atom



6.
Material: Eu2HoZn
Method: DFT, PBE
State: optimized geometry

a = 4.8971 Å, b = 4.8971 Å, c = 4.9780 Å
α = 90.00°, β = 90.00°, γ = 90.00°
Closest atoms and distances in Å follow each position.
Fractional coordinates of all 4 atoms:
Eu 0.0000 0.5000 0.0000  4 Eu 3.46, 4 Ho 3.49, 4 Zn 3.49
Eu 0.5000 0.0000 0.0000  4 Eu 3.46, 4 Ho 3.49, 4 Zn 3.49
Ho 0.0000 0.0000 0.5000  4 Zn 3.46, 8 Eu 3.49
Zn 0.5000 0.5000 0.5000  4 Ho 3.46, 8 Eu 3.49

SG	No. 123
magnetic moment	15.11	μB per formula unit
energy relative to the elements	0.06	eV per atom
final energy	-6.5409	eV/atom



7.
Material: CeHoGa
Method: DFT, PBE
State: optimized geometry

a = 4.9636 Å, b = 4.9636 Å, c = 3.5920 Å
α = 90.00°, β = 90.00°, γ = 120.00°
Closest atoms and distances in Å follow each position.
Fractional coordinates of all 3 atoms:
Ce 0.0000 0.0000 0.0000  3 Ga 3.13, 3 Ho 3.25
Ho 0.6667 0.3333 0.5728  3 Ga 2.98, 3 Ce 3.25
Ga 0.3333 0.6667 0.3496  3 Ho 2.98, 3 Ce 3.13

SG	No. 156
magnetic moment	0.95	μB per formula unit
energy relative to the elements	-0.20	eV per atom
final energy	-4.7132	eV/atom



8.
Material: YHo6Tm5
Method: DFT, PBE
State: optimized geometry

a = 6.0829 Å, b = 6.0829 Å, c = 11.6384 Å
α = 95.01°, β = 95.01°, γ = 119.94°
Closest atoms and distances in Å follow each position.
Fractional coordinates of all 12 atoms:
Y 0.0000 0.0000 0.0000  6 Tm 3.51, 6 Ho 3.52
Ho 0.0831 0.4174 0.2509  5 Tm 3.50-3.52, 6 Ho 3.51-3.52, 1 Y 3.52
Ho 0.2512 0.2512 0.7491  5 Tm 3.50-3.52, 6 Ho 3.51-3.52, 1 Y 3.52
Ho 0.4174 0.0831 0.2509  5 Tm 3.50-3.52, 6 Ho 3.51-3.52, 1 Y 3.52
Ho 0.5826 0.9169 0.7491  5 Tm 3.50-3.52, 6 Ho 3.51-3.52, 1 Y 3.52
Ho 0.7488 0.7488 0.2509  5 Tm 3.50-3.52, 6 Ho 3.51-3.52, 1 Y 3.52
Ho 0.9169 0.5826 0.7491  5 Tm 3.50-3.52, 6 Ho 3.51-3.52, 1 Y 3.52
Tm 0.1667 0.8333 0.5000  6 Ho 3.50, 6 Tm 3.51
Tm 0.3333 0.6667 0.0000  3 Y 3.51, 3 Tm 3.51, 6 Ho 3.52
Tm 0.5000 0.5000 0.5000  6 Ho 3.50, 6 Tm 3.51
Tm 0.6667 0.3333 0.0000  3 Y 3.51, 3 Tm 3.51, 6 Ho 3.52
Tm 0.8333 0.1667 0.5000  6 Ho 3.50, 6 Tm 3.51

SG	No. 12
magnetic moment	0.00	μB per formula unit
energy relative to the elements	0.02	eV per atom
final energy	-4.6667	eV/atom



9.
Material: AcTh3Ge4
Method: DFT, PBE
State: optimized geometry

a = 7.5863 Å, b = 8.7002 Å, c = 7.5678 Å
α = 90.00°, β = 109.38°, γ = 90.00°
Closest atoms and distances in Å follow each position.
Fractional coordinates of all 16 atoms:
Ac 0.0000 0.1248 0.2500  6 Ge 3.16-3.19
Ac 0.0000 0.8752 0.7500  6 Ge 3.16-3.19
Th 0.0000 0.3771 0.7500  6 Ge 3.07-3.09
Th 0.0000 0.6229 0.2500  6 Ge 3.07-3.09
Th 0.5000 0.1257 0.7500  6 Ge 3.00-3.10
Th 0.5000 0.3769 0.2500  6 Ge 3.00-3.11
Th 0.5000 0.6231 0.7500  6 Ge 3.00-3.11
Th 0.5000 0.8743 0.2500  6 Ge 3.00-3.10
Ge 0.2546 0.3811 0.5073  5 Th 3.00-3.11, 1 Ac 3.16
Ge 0.2546 0.6189 0.0073  5 Th 3.00-3.11, 1 Ac 3.16
Ge 0.2645 0.1335 0.9990  4 Th 3.00-3.10, 2 Ac 3.18-3.19
Ge 0.2645 0.8665 0.4990  4 Th 3.00-3.10, 2 Ac 3.18-3.19
Ge 0.7355 0.1335 0.5010  4 Th 3.00-3.10, 2 Ac 3.18-3.19
Ge 0.7355 0.8665 0.0010  4 Th 3.00-3.10, 2 Ac 3.18-3.19
Ge 0.7454 0.3811 0.9927  5 Th 3.00-3.11, 1 Ac 3.16
Ge 0.7454 0.6189 0.4927  5 Th 3.00-3.11, 1 Ac 3.16

SG	No. 13
magnetic moment	0.00	μB per formula unit
energy relative to the elements	-0.71	eV per atom
final energy	-6.3098	eV/atom



10.
Material: SrHg6Bi
Method: DFT, PBE
State: optimized geometry

a = 5.2296 Å, b = 6.1586 Å, c = 8.1952 Å
α = 109.88°, β = 90.01°, γ = 113.68°
Closest atoms and distances in Å follow each position.
Fractional coordinates of all 8 atoms:
Sr 0.0000 0.0000 0.0000  12 Hg 3.35-3.62
Hg 0.2554 0.5107 0.3775  6 Hg 3.21-3.33, 1 Sr 3.35, 1 Bi 3.39
Hg 0.2674 0.5340 0.8774  6 Hg 3.26-3.42, 1 Bi 3.42, 3 Sr 3.51-3.62
Hg 0.4984 0.9964 0.2632  4 Hg 3.21-3.27, 2 Bi 3.25, 2 Sr 3.39
Hg 0.5016 0.0036 0.7368  4 Hg 3.21-3.27, 2 Bi 3.25, 2 Sr 3.39
Hg 0.7326 0.4660 0.1226  6 Hg 3.26-3.42, 1 Bi 3.42, 3 Sr 3.51-3.62
Hg 0.7446 0.4893 0.6225  6 Hg 3.21-3.33, 1 Sr 3.35, 1 Bi 3.39
Bi 0.0000 0.0000 0.5000  10 Hg 3.25-3.61

SG	No. 2
magnetic moment	0.00	μB per formula unit
energy relative to the elements	-0.21	eV per atom
final energy	-1.1291	eV/atom



11.
Material: CaCoMo2
Method: DFT, PBE
State: optimized geometry

a = 2.6959 Å, b = 4.8482 Å, c = 5.2139 Å
α = 90.00°, β = 101.83°, γ = 90.00°
Closest atoms and distances in Å follow each position.
Fractional coordinates of all 4 atoms:
Ca 0.0000 0.0000 0.0000  2 Co 2.68, 2 Ca 2.70, 4 Mo 2.94
Co 0.5000 0.0000 0.5000  2 Ca 2.68, 2 Co 2.70, 4 Mo 2.85
Mo 0.2762 0.5000 0.7408  4 Mo 2.64-2.72, 2 Co 2.85, 2 Ca 2.94
Mo 0.7238 0.5000 0.2592  4 Mo 2.64-2.72, 2 Co 2.85, 2 Ca 2.94

SG	No. 10
magnetic moment	1.11	μB per formula unit
energy relative to the elements	0.67	eV per atom
final energy	-7.0180	eV/atom



12.
Material: Ac4SmDy
Method: DFT, PBE
State: optimized geometry

a = 3.7235 Å, b = 6.2397 Å, c = 10.5662 Å
α = 90.00°, β = 90.00°, γ = 90.00°
Closest atoms and distances in Å follow each position.
Fractional coordinates of all 6 atoms:
Ac 0.0000 0.0000 0.1685  5 Ac 3.56-3.72, 2 Sm 3.97
Ac 0.0000 0.0000 0.8315  5 Ac 3.56-3.72, 2 Sm 3.97
Ac 0.0000 0.5000 0.3298  5 Ac 3.56-3.72, 2 Dy 3.95
Ac 0.0000 0.5000 0.6702  5 Ac 3.56-3.72, 2 Dy 3.95
Sm 0.5000 0.0000 0.5000  2 Sm 3.72, 12 Ac 3.97-4.05
Dy 0.5000 0.5000 0.0000  2 Dy 3.72, 12 Ac 3.95-4.05

SG	No. 47
magnetic moment	0.00	μB per formula unit
energy relative to the elements	0.15	eV per atom
final energy	-4.1383	eV/atom



13.
Material: TiBe8Nb3
Method: DFT, PBE
State: optimized geometry

a = 7.9768 Å, b = 7.9768 Å, c = 7.9768 Å
α = 33.51°, β = 33.51°, γ = 33.51°
Closest atoms and distances in Å follow each position.
Fractional coordinates of all 12 atoms:
Ti 0.0000 0.0000 0.0000  12 Be 2.69-2.72, 4 Nb 2.80-2.81
Be 0.0638 0.0638 0.5609  6 Be 2.29-2.31
Be 0.0638 0.5609 0.0638  6 Be 2.29-2.31
Be 0.0655 0.5633 0.5633  6 Be 2.29-2.31
Be 0.3132 0.3132 0.3132  6 Be 2.30-2.31
Be 0.5609 0.0638 0.0638  6 Be 2.29-2.31
Be 0.5633 0.0655 0.5633  6 Be 2.29-2.31
Be 0.5633 0.5633 0.0655  6 Be 2.29-2.31
Be 0.8132 0.8132 0.8132  6 Be 2.29-2.30
Nb 0.1244 0.1244 0.1244  12 Be 2.67-2.71, 1 Ti 2.81, 3 Nb 2.83
Nb 0.5009 0.5009 0.5009  12 Be 2.69-2.70, 4 Nb 2.83-2.85
Nb 0.6274 0.6274 0.6274  12 Be 2.69-2.72, 3 Ti 2.80, 1 Nb 2.85

SG	No. 160
magnetic moment	1.54	μB per formula unit
energy relative to the elements	-0.20	eV per atom
final energy	-5.8579	eV/atom



14.
Material: SrCrRu
Method: DFT, PBE
State: optimized geometry

a = 4.0117 Å, b = 4.0117 Å, c = 5.1264 Å
α = 90.00°, β = 90.00°, γ = 120.00°
Closest atoms and distances in Å follow each position.
Fractional coordinates of all 3 atoms:
Sr 0.0000 0.0000 0.0000  6 Cr 3.45, 6 Ru 3.45
Cr 0.6667 0.3333 0.5000  3 Ru 2.32
Ru 0.3333 0.6667 0.5000  3 Cr 2.32

SG	No. 187
magnetic moment	2.04	μB per formula unit
energy relative to the elements	0.44	eV per atom
final energy	-6.4178	eV/atom



15.
Material: AlAg5Hg
Method: DFT, PBE
State: optimized geometry

a = 4.0110 Å, b = 4.0110 Å, c = 8.5747 Å
α = 90.00°, β = 90.00°, γ = 90.00°
Closest atoms and distances in Å follow each position.
Fractional coordinates of all 7 atoms:
Al 0.0000 0.0000 0.0000  12 Ag 2.84-2.90
Ag 0.0000 0.5000 0.2450  6 Ag 2.84-2.90, 2 Al 2.90, 2 Hg 2.97
Ag 0.0000 0.5000 0.7550  6 Ag 2.84-2.90, 2 Al 2.90, 2 Hg 2.97
Ag 0.5000 0.0000 0.2450  6 Ag 2.84-2.90, 2 Al 2.90, 2 Hg 2.97
Ag 0.5000 0.0000 0.7550  6 Ag 2.84-2.90, 2 Al 2.90, 2 Hg 2.97
Ag 0.5000 0.5000 0.0000  4 Al 2.84, 8 Ag 2.90
Hg 0.5000 0.5000 0.5000  8 Ag 2.97

SG	No. 123
magnetic moment	0.00	μB per formula unit
energy relative to the elements	0.06	eV per atom
final energy	-2.5567	eV/atom



16.
Material: CdGaI3
Method: DFT, PBE
State: optimized geometry

a = 5.9134 Å, b = 5.9134 Å, c = 5.9134 Å
α = 90.00°, β = 90.00°, γ = 90.00°
Closest atoms and distances in Å follow each position.
Fractional coordinates of all 5 atoms:
Cd 0.0000 0.0000 0.0000  6 I 2.96
Ga 0.5000 0.5000 0.5000  12 I 4.18
I 0.0000 0.0000 0.5000  2 Cd 2.96
I 0.0000 0.5000 0.0000  2 Cd 2.96
I 0.5000 0.0000 0.0000  2 Cd 2.96

SG	No. 221
uncorrected formation energy	-25.7	kJ per mole of atoms
magnetic moment	0.00	μB per formula unit
final energy	-1.9844	eV/atom



17.
Material: CoIrPt2
Method: DFT, PBE
State: optimized geometry

a = 9.0089 Å, b = 9.0089 Å, c = 9.0089 Å
α = 17.47°, β = 17.47°, γ = 17.47°
Closest atoms and distances in Å follow each position.
Fractional coordinates of all 4 atoms:
Co 0.0000 0.0000 0.0000  6 Pt 2.63, 6 Co 2.74
Ir 0.5000 0.5000 0.5000  6 Ir 2.74, 6 Pt 2.81
Pt 0.2541 0.2541 0.2541  3 Co 2.63, 6 Pt 2.74, 3 Ir 2.81
Pt 0.7459 0.7459 0.7459  3 Co 2.63, 6 Pt 2.74, 3 Ir 2.81

SG	No. 166
magnetic moment	1.63	μB per formula unit
energy relative to the elements	0.02	eV per atom
final energy	-6.9886	eV/atom



18.
Material: Y2ScPt
Method: DFT, PBE
State: optimized geometry

a = 3.6982 Å, b = 6.4662 Å, c = 6.4662 Å
α = 42.87°, β = 90.00°, γ = 90.00°
Closest atoms and distances in Å follow each position.
Fractional coordinates of all 4 atoms:
Y 0.0000 0.0000 0.0000  1 Pt 2.81
Y 0.5000 0.3107 0.3107  4 Pt 3.05, 2 Sc 3.37
Sc 0.5000 0.6110 0.6110  2 Pt 2.63
Pt 0.0000 0.7667 0.7667  2 Sc 2.63, 1 Y 2.81

SG	No. 38
magnetic moment	0.00	μB per formula unit
energy relative to the elements	-0.60	eV per atom
final energy	-6.9300	eV/atom



19.
Material: Ba5Li4Si4
Method: DFT, PBE
State: optimized geometry

a = 9.2223 Å, b = 9.2223 Å, c = 9.2223 Å
α = 93.97°, β = 93.97°, γ = 149.50°
Closest atoms and distances in Å follow each position.
Fractional coordinates of all 13 atoms:
Ba 0.0000 0.0000 0.0000  4 Si 3.46
Ba 0.2849 0.6374 0.9224  3 Si 3.25-3.40, 1 Li 3.42
Ba 0.3626 0.2849 0.6475  3 Si 3.25-3.40, 1 Li 3.42
Ba 0.6374 0.7151 0.3525  3 Si 3.25-3.40, 1 Li 3.42
Ba 0.7151 0.3626 0.0776  3 Si 3.25-3.40, 1 Li 3.42
Li 0.1024 0.4361 0.5385  3 Si 2.77-2.91, 1 Li 3.04
Li 0.4361 0.8976 0.3337  3 Si 2.77-2.91, 1 Li 3.04
Li 0.5639 0.1024 0.6663  3 Si 2.77-2.91, 1 Li 3.04
Li 0.8976 0.5639 0.4615  3 Si 2.77-2.91, 1 Li 3.04
Si 0.0430 0.7288 0.7717  3 Li 2.77-2.91
Si 0.2712 0.0430 0.3142  3 Li 2.77-2.91
Si 0.7288 0.9570 0.6858  3 Li 2.77-2.91
Si 0.9570 0.2712 0.2283  3 Li 2.77-2.91

SG	No. 87
uncorrected formation energy	-18.0	kJ per mole of atoms
magnetic moment	0.00	μB per formula unit
final energy	-3.1838	eV/atom



20.
Material: KAgB2F8
Method: DFT, PBE
State: optimized geometry

a = 8.0727 Å, b = 8.0727 Å, c = 8.0727 Å
α = 37.20°, β = 37.20°, γ = 37.20°
Closest atoms and distances in Å follow each position.
Fractional coordinates of all 12 atoms:
K 0.0000 0.0000 0.0000  12 F 2.90-3.00
Ag 0.5000 0.5000 0.5000  6 F 2.55
B 0.2535 0.2535 0.2535  4 F 1.42
B 0.7465 0.7465 0.7465  4 F 1.42
F 0.0067 0.4898 0.8046  1 B 1.42
F 0.1954 0.9933 0.5102  1 B 1.42
F 0.3165 0.3165 0.3165  1 B 1.42
F 0.4898 0.8046 0.0067  1 B 1.42
F 0.5102 0.1954 0.9933  1 B 1.42
F 0.6835 0.6835 0.6835  1 B 1.42
F 0.8046 0.0067 0.4898  1 B 1.42
F 0.9933 0.5102 0.1954  1 B 1.42

SG	No. 148
uncorrected formation energy	-256.2	kJ per mole of atoms
magnetic moment	0.13	μB per formula unit
final energy	-5.3445	eV/atom